Material: La2Ho3Er4
Method: DFT, PBE-GGA
State: optimized geometry

The polymorph energy (0 for the lowest one) comes out at 133.7 meV/atom. As for the formation energy: 17.7 kJ per mole of atoms. The calculation puts the energy at -4.4656 eV per atom. As for the total magnetization: 0.00 Bohr magnetons per cell.

It has space group Fmmm (No. 69), with a = 6.0929 Å, b = 12.3865 Å, c = 15.8779 Å, α = 90.00°, β = 90.00° and γ = 90.00°. Symmetry generates all atoms from La at (0.0000, 0.0000, 0.1153), Ho at (0.0000, 0.0000, 0.5000), Ho at (0.2500, 0.2500, 0.0000) and Er at (0.0000, 0.1437, 0.3122).



Material: La3Ho2Er3
Method: DFT, PBE-GGA
State: optimized geometry

The polymorph energy (0 for the lowest one) comes out at 0.0 meV/atom. As for the formation energy: 3.5 kJ per mole of atoms. The calculation puts the energy at -4.6675 eV per atom. As for the total magnetization: 0.01 Bohr magnetons per cell.

It has space group Immm (No. 71), with a = 5.0122 Å, b = 5.1381 Å, c = 20.5863 Å, α = 90.00°, β = 90.00° and γ = 90.00°. Symmetry generates all atoms from La at (0.0000, 0.0000, 0.0000), La at (0.0000, 0.5000, 0.1245), Ho at (0.0000, 0.0000, 0.2486), Er at (0.0000, 0.0000, 0.5000) and Er at (0.0000, 0.5000, 0.3720).



Material: LaHo2Er2
Method: DFT, PBE-GGA
State: optimized geometry

The polymorph energy (0 for the lowest one) comes out at 0.0 meV/atom. As for the formation energy: 7.5 kJ per mole of atoms. The calculation puts the energy at -4.5643 eV per atom. As for the total magnetization: 0.00 Bohr magnetons per cell.

It has space group P4/mbm (No. 127), with a = 9.4338 Å, b = 9.4338 Å, c = 3.6994 Å, α = 90.00°, β = 90.00° and γ = 90.00°. Symmetry generates all atoms from La at (0.0000, 0.0000, 0.0000), Ho at (0.1239, 0.3761, 0.0000) and Er at (0.1716, 0.6716, 0.5000).



Material: La9HoEr2
Method: DFT, PBE-GGA
State: optimized geometry

As for the formation energy: 0.7 kJ per mole of atoms. The calculation puts the energy at -4.8307 eV per atom. As for the total magnetization: 0.00 Bohr magnetons per cell.

It has space group P4/mmm (No. 123), with a = 5.1926 Å, b = 5.1926 Å, c = 15.5769 Å, α = 90.00°, β = 90.00° and γ = 90.00°. Symmetry generates all atoms from La at (0.0000, 0.0000, 0.0000), La at (0.0000, 0.0000, 0.3334), La at (0.0000, 0.5000, 0.1668), La at (0.0000, 0.5000, 0.5000), Ho at (0.5000, 0.5000, 0.0000) and Er at (0.5000, 0.5000, 0.3335).